! BaLaTe2I PBE-GGA optimized geometry; values from VASP
! Total magnetic moment in μB/atom: 0.00
! Calculated volume in A^3/atom: 46.92
! E_tot in eV/cell: -21.4
! Formation energy (no corrections) in eV/atom: -1.3452
&SYSTEM
  ibrav = 0, nat = 5, ntyp = 4
/
ATOMIC_SPECIES
Ba 137.33 Ba.upf
La 138.91 La.upf
Te 127.60 Te.upf
I 126.90 I.upf
CELL_PARAMETERS angstrom
6.193 0.000 0.000
0.000 6.193 0.000
0.000 0.000 6.116
ATOMIC_POSITIONS angstrom
Ba 0.000 0.000 0.000
La 3.097 3.097 3.058
Te 0.000 3.097 3.058
Te 3.097 0.000 3.058
I 3.097 3.097 0.000